1.
Here is La2TbHo3 after structural relaxation from Alexandria. Energies are from GGA-PBE. Values from VASP.

## Properties
Relative energy among the computed polymorphs   0 meV per atom
ΔE_f   29 meV per atom

Cell and atoms, written as Quantum ESPRESSO input:
```
&SYSTEM
  ibrav = 0, nat = 12, ntyp = 3
/
ATOMIC_SPECIES
La 138.91 La.upf
Tb 158.93 Tb.upf
Ho 164.93 Ho.upf
CELL_PARAMETERS angstrom
6.2277 0.0000 0.0000
1.0521 6.1656 0.0000
0.0513 3.1398 10.3606
ATOMIC_POSITIONS crystal
La 0.1254 0.2497 0.1254
La 0.3747 0.7495 0.3752
La 0.6253 0.2505 0.6248
La 0.8746 0.7503 0.8746
Tb 0.1281 0.2498 0.7908
Tb 0.8719 0.7502 0.2092
Ho 0.1219 0.2495 0.4593
Ho 0.3723 0.7502 0.7090
Ho 0.3779 0.7493 0.0407
Ho 0.6221 0.2507 0.9593
Ho 0.6277 0.2498 0.2910
Ho 0.8781 0.7505 0.5407
```

2.
Here is La6TbHo4 after structural relaxation from Alexandria. Energies are from GGA-PBE. Values from VASP.

## Properties
Relative energy among the computed polymorphs   0 meV per atom
ΔE_f   103 meV per atom

Cell and atoms, written as Quantum ESPRESSO input:
```
&SYSTEM
  ibrav = 0, nat = 22, ntyp = 3
/
ATOMIC_SPECIES
La 138.91 La.upf
Tb 158.93 Tb.upf
Ho 164.93 Ho.upf
CELL_PARAMETERS angstrom
2.9561 -4.9262 0.0000
2.9561 4.9262 0.0000
0.0000 0.0000 26.2677
ATOMIC_POSITIONS crystal
La 0.0000 0.0000 0.0000
La 0.0000 0.0000 0.5000
La 0.0431 0.9569 0.7500
La 0.3071 0.6929 0.0986
La 0.3071 0.6929 0.4014
La 0.3685 0.6315 0.6818
La 0.3685 0.6315 0.8182
La 0.6315 0.3685 0.1818
La 0.6315 0.3685 0.3182
La 0.6929 0.3071 0.5986
La 0.6929 0.3071 0.9014
La 0.9569 0.0431 0.2500
Tb 0.2966 0.7034 0.2500
Tb 0.7034 0.2966 0.7500
Ho 0.0338 0.9662 0.6248
Ho 0.0338 0.9662 0.8752
Ho 0.3455 0.6545 0.5454
Ho 0.3455 0.6545 0.9546
Ho 0.6545 0.3455 0.0454
Ho 0.6545 0.3455 0.4546
Ho 0.9662 0.0338 0.1248
Ho 0.9662 0.0338 0.3752
```

3.
Here is La6Tb12Ho after structural relaxation from Alexandria. Energies are from GGA-PBE. Values from VASP.

## Properties
Relative energy among the computed polymorphs   0 meV per atom
ΔE_f   130 meV per atom

Cell and atoms, written as Quantum ESPRESSO input:
```
&SYSTEM
  ibrav = 0, nat = 19, ntyp = 3
/
ATOMIC_SPECIES
La 138.91 La.upf
Tb 158.93 Tb.upf
Ho 164.93 Ho.upf
CELL_PARAMETERS angstrom
5.5883 3.2264 5.9888
-5.5883 3.2264 5.9888
0.0000 -6.4528 5.9888
ATOMIC_POSITIONS crystal
La 0.2663 0.2663 0.6622
La 0.2663 0.6622 0.2663
La 0.3378 0.7337 0.7337
La 0.6622 0.2663 0.2663
La 0.7337 0.3378 0.7337
La 0.7337 0.7337 0.3378
Tb 0.0112 0.3609 0.3609
Tb 0.0127 0.0127 0.6952
Tb 0.0127 0.6952 0.0127
Tb 0.3048 0.9873 0.9873
Tb 0.3609 0.0112 0.3609
Tb 0.3609 0.3609 0.0112
Tb 0.6391 0.6391 0.9888
Tb 0.6391 0.9888 0.6391
Tb 0.6952 0.0127 0.0127
Tb 0.9873 0.3048 0.9873
Tb 0.9873 0.9873 0.3048
Tb 0.9888 0.6391 0.6391
Ho 0.5000 0.5000 0.5000
```

4.
Here is La5TbHo2 after structural relaxation from Alexandria. Energies are from GGA-PBE. Values from VASP.

## Properties
ΔE_f   116 meV per atom

Cell and atoms, written as Quantum ESPRESSO input:
```
&SYSTEM
  ibrav = 0, nat = 16, ntyp = 3
/
ATOMIC_SPECIES
La 138.91 La.upf
Tb 158.93 Tb.upf
Ho 164.93 Ho.upf
CELL_PARAMETERS angstrom
2.8360 -6.0643 0.0000
2.8360 6.0643 0.0000
0.0000 0.0000 16.5679
ATOMIC_POSITIONS crystal
La 0.0313 0.9687 0.7500
La 0.1173 0.8827 0.0511
La 0.1173 0.8827 0.4489
La 0.4263 0.5737 0.0948
La 0.4263 0.5737 0.4052
La 0.5737 0.4263 0.5948
La 0.5737 0.4263 0.9052
La 0.8827 0.1173 0.5511
La 0.8827 0.1173 0.9489
La 0.9687 0.0313 0.2500
Tb 0.2476 0.7524 0.2500
Tb 0.7524 0.2476 0.7500
Ho 0.2733 0.7267 0.6369
Ho 0.2733 0.7267 0.8631
Ho 0.7267 0.2733 0.1369
Ho 0.7267 0.2733 0.3631
```

Number 1: M_tot 0.000 μB/atom, DFT total energy -56.09 eV per cell. Number 2: M_tot 0.000 μB/atom, DFT total energy -102.74 eV per cell. Number 3: M_tot 0.000 μB/atom, DFT total energy -87.23 eV per cell. Number 4: M_tot 0.000 μB/atom, DFT total energy -74.99 eV per cell.